A plane-wave DFT calculation with PBE was carried out for a relaxed structure of PmTm3Sc3.

Unit cell a=8.4276 b=8.4276 c=8.4276 alpha=58.86 beta=58.86 gamma=58.86
Closest atoms and distances in Å follow each position.
Fractional positions:
Pm: 0.6501 0.6501 0.6501  6 Sc 3.40-3.69, 6 Tm 3.53-3.58
Pm: 0.3499 0.3499 0.3499  6 Sc 3.40-3.69, 6 Tm 3.53-3.58
Sc: 0.1678 0.9366 0.7228  4 Sc 3.02-3.19, 3 Tm 3.16-3.27
Sc: 0.7228 0.1678 0.9366  4 Sc 3.02-3.19, 3 Tm 3.16-3.27
Sc: 0.8322 0.0634 0.2772  4 Sc 3.02-3.19, 3 Tm 3.16-3.27
Sc: 0.2772 0.8322 0.0634  4 Sc 3.02-3.19, 3 Tm 3.16-3.27
Sc: 0.0634 0.2772 0.8322  4 Sc 3.02-3.19, 3 Tm 3.16-3.27
Sc: 0.9366 0.7228 0.1678  4 Sc 3.02-3.19, 3 Tm 3.16-3.27
Tm: 0.5697 0.0644 0.7259  4 Sc 3.16-3.47, 2 Tm 3.46, 1 Pm 3.53
Tm: 0.0644 0.7259 0.5697  4 Sc 3.16-3.47, 2 Tm 3.46, 1 Pm 3.53
Tm: 0.9356 0.2741 0.4303  4 Sc 3.16-3.47, 2 Tm 3.46, 1 Pm 3.53
Tm: 0.2741 0.4303 0.9356  4 Sc 3.16-3.47, 2 Tm 3.46, 1 Pm 3.53
Tm: 0.4303 0.9356 0.2741  4 Sc 3.16-3.47, 2 Tm 3.46, 1 Pm 3.53
Tm: 0.7259 0.5697 0.0644  4 Sc 3.16-3.47, 2 Tm 3.46, 1 Pm 3.53

- Polymorph energy (0 for the lowest one): 163 meV/atom
- Symmetry: R-3
- Spin magnetization: 0.00 μB/f.u.
- E: -5.119 eV per atom
- Formation energy: 189 meV/atom


A plane-wave DFT calculation with PBE was carried out for a relaxed structure of NbVHg2.

Unit cell a=7.5567 b=7.5567 c=6.0368 alpha=51.25 beta=51.25 gamma=90.00
Closest atoms and distances in Å follow each position.
Fractional positions:
Hg: 0.6086 0.1250 0.2500  2 V 2.68, 2 Hg 2.82, 2 Nb 2.85
Hg: 0.8750 0.8586 0.7500  2 V 2.68, 2 Hg 2.82, 2 Nb 2.85
Hg: 0.3750 0.3914 0.7500  2 V 2.68, 2 Hg 2.82, 2 Nb 2.85
Hg: 0.1414 0.6250 0.2500  2 V 2.68, 2 Hg 2.82, 2 Nb 2.85
V: 0.5000 0.5000 0.0000  4 Hg 2.68, 2 Nb 2.81
V: 0.2500 0.7500 0.5000  4 Hg 2.68, 2 Nb 2.81
Nb: 0.0000 0.0000 0.0000  2 V 2.81, 4 Hg 2.85
Nb: 0.7500 0.2500 0.5000  2 V 2.81, 4 Hg 2.85

- Polymorph energy (0 for the lowest one): 265 meV/atom
- Symmetry: I-42d
- Spin magnetization: 0.41 μB/f.u.
- E: -4.210 eV per atom
- Formation energy: 738 meV/atom


- What is the formula in the first record?
  PmTm3Sc3